! PBE-GGA Hf2GaW2, relaxed; values from VASP
&SYSTEM
  ibrav = 0, nat = 10, ntyp = 3
/
ATOMIC_SPECIES
Hf 178.49 Hf.upf
Ga 69.72 Ga.upf
W 183.84 W.upf
CELL_PARAMETERS angstrom
3.7147 0.0000 0.0000
0.0000 3.7147 0.0000
0.0000 0.0000 14.8534
ATOMIC_POSITIONS angstrom
Hf 0.0000 0.0000 1.4909
Hf 0.0000 0.0000 13.3625
Hf 1.8574 1.8574 5.9358
Hf 1.8574 1.8574 8.9176
Ga 0.0000 0.0000 7.4267
Ga 1.8574 1.8574 0.0000
W 0.0000 1.8574 3.7133
W 0.0000 1.8574 11.1400
W 1.8574 0.0000 3.7133
W 1.8574 0.0000 11.1400
! - Density of states at the Fermi level: 11.8 states/eV/cell
! - DFT total energy: -9.274 eV/atom
! - ΔE to the lowest computed polymorph: 0.0 meV/atom
! - DFT formation energy: 494 meV per atom


! PBE-GGA NaNd5Hg8, relaxed; values from VASP
&SYSTEM
  ibrav = 0, nat = 14, ntyp = 3
/
ATOMIC_SPECIES
Na 22.99 Na.upf
Nd 144.24 Nd.upf
Hg 200.59 Hg.upf
CELL_PARAMETERS angstrom
-4.6463 4.6463 4.6068
4.6463 -4.6463 4.6068
4.6463 4.6463 -4.6068
ATOMIC_POSITIONS angstrom
Na 0.0000 0.0000 0.0000
Nd 5.7821 2.3759 -1.0517
Nd 4.6463 0.0000 2.3034
Nd 2.3759 3.5105 1.0517
Nd -1.1358 2.2704 3.5551
Nd 2.2704 1.1358 5.6585
Hg 3.0508 0.7527 -0.4585
Hg 3.1254 3.8683 -2.0457
Hg 1.5209 0.7781 2.5611
Hg 3.8936 -1.5956 5.0652
Hg 5.4244 3.1254 2.0457
Hg 0.7527 6.2419 0.4585
Hg 1.5956 3.8936 4.1483
Hg -0.7781 1.5209 6.6524
! - Density of states at the Fermi level: 11.6 states/eV/cell
! - DFT total energy: -2.354 eV/atom
! - DFT formation energy: -384 meV per atom


! PBE-GGA YTm3Os, relaxed; values from VASP
&SYSTEM
  ibrav = 0, nat = 10, ntyp = 3
/
ATOMIC_SPECIES
Y 88.91 Y.upf
Tm 168.93 Tm.upf
Os 190.23 Os.upf
CELL_PARAMETERS angstrom
7.6216 0.0000 0.0000
0.0000 6.3619 0.0000
0.0000 0.0000 6.1535
ATOMIC_POSITIONS angstrom
Y 0.0000 0.9856 0.0000
Y 3.8108 5.3764 3.0767
Tm 0.0000 5.3590 3.0376
Tm 1.9001 2.0381 3.0633
Tm 1.9107 4.3239 6.1401
Tm 3.8108 1.0029 6.1143
Tm 5.7110 4.3239 6.1401
Tm 5.7215 2.0381 3.0633
Os 0.0000 3.2030 4.5944
Os 3.8108 3.1590 1.5177
! - Density of states at the Fermi level: 10.0 states/eV/cell
! - DFT total energy: -6.311 eV/atom
! - ΔE to the lowest computed polymorph: 0.0 meV/atom
! - DFT formation energy: -89 meV per atom


! PBE-GGA Pr4CuNi, relaxed; values from VASP
&SYSTEM
  ibrav = 0, nat = 12, ntyp = 3
/
ATOMIC_SPECIES
Pr 140.91 Pr.upf
Cu 63.55 Cu.upf
Ni 58.69 Ni.upf
CELL_PARAMETERS angstrom
-3.5037 3.5037 6.6997
3.5037 -3.5037 6.6997
3.5037 3.5037 -6.6997
ATOMIC_POSITIONS angstrom
Pr 4.7662 1.2625 -1.6591
Pr 1.2625 2.2412 -1.6591
Pr 4.7662 1.2625 1.6591
Pr 1.2625 2.2412 1.6591
Pr 2.2412 1.2625 5.0406
Pr -1.2625 2.2412 5.0406
Pr 2.2412 1.2625 8.3587
Pr -1.2625 2.2412 8.3587
Cu 0.0000 0.0000 3.3498
Cu 0.0000 0.0000 10.0495
Ni 0.0000 0.0000 0.0000
Ni 0.0000 0.0000 6.6997
! - Density of states at the Fermi level: 13.7 states/eV/cell
! - DFT total energy: -4.879 eV/atom
! - DFT formation energy: -47 meV per atom